# 1
A plane-wave DFT calculation with PBE was carried out for a geometry-optimized Sm2Ag3Pd structure.

a = 3.5761 Å, b = 4.8030 Å, c = 8.0391 Å
α = 90.00°, β = 90.00°, γ = 90.00°
With the nearest neighbours (Å) after each atom.
Space group Pmm2 (No. 25)
One atom of each set of equivalent atoms:
Sm1 0.0000 0.0000 0.0000 [1 per cell]  2 Pd 3.04, 10 Ag 3.20-3.39
Sm2 0.0000 0.5000 0.4587 [1 per cell]  8 Ag 3.12-3.34, 4 Pd 3.24
Ag1 0.5000 0.0000 0.6441 [1 per cell]  2 Ag 2.72, 1 Pd 2.72
Ag2 0.5000 0.5000 0.1411 [1 per cell]  1 Ag 2.72, 2 Pd 2.74
Ag3 0.5000 0.5000 0.8033 [1 per cell]  3 Ag 2.72
Pd1 0.5000 0.0000 0.3051 [1 per cell]  3 Ag 2.72-2.74, 2 Sm 3.04

Output
Final energy in eV for the cell shown: -25.478
ρ in g/cm3: 8.8


# 2
A plane-wave DFT calculation with PBE was carried out for a geometry-optimized Nd3Ho2ThSe6 structure.

a = 18.1369 Å, b = 4.1407 Å, c = 8.4080 Å
α = 90.00°, β = 102.69°, γ = 90.00°
With the nearest neighbours (Å) after each atom.
Space group C2/m (No. 12)
One atom of each set of equivalent atoms:
Nd1 0.0000 0.0000 0.0000 [2 per cell]  6 Se 2.94-3.03
Nd2 0.1610 0.5000 0.3338 [4 per cell]  6 Se 2.96-3.04
Ho1 0.1656 0.5000 0.8310 [4 per cell]  6 Se 2.82-2.90
Th1 0.0000 0.0000 0.5000 [2 per cell]  6 Se 2.96-3.00
Se1 0.0060 0.5000 0.7545 [4 per cell]  1 Ho 2.82, 3 Nd 2.94-2.96, 2 Th 2.96
Se2 0.1696 0.0000 0.5966 [4 per cell]  2 Ho 2.87, 3 Nd 3.00-3.01, 1 Th 3.00
Se3 0.1711 0.0000 0.0751 [4 per cell]  3 Ho 2.89-2.90, 3 Nd 3.03-3.04

Output
Final energy in eV for the cell shown: -145.468
ρ in g/cm3: 7.9


# 3
A plane-wave DFT calculation with PBE was carried out for a geometry-optimized Sn2Au2Se structure.

a = 3.9016 Å, b = 3.9016 Å, c = 15.7705 Å
α = 90.00°, β = 90.00°, γ = 90.00°
With the nearest neighbours (Å) after each atom.
Space group I4/mmm (No. 139)
One atom of each set of equivalent atoms:
Sn1 0.0000 0.0000 0.1036 [4 per cell]  4 Au 3.02, 4 Se 3.21, 1 Sn 3.27
Au1 0.0000 0.5000 0.2500 [4 per cell]  4 Au 2.76, 4 Sn 3.02
Se1 0.0000 0.0000 0.5000 [2 per cell]  8 Sn 3.21

Output
Energy relative to the lowest polymorph listed for this composition in eV/f.u.: 0.000
Final energy in eV for the cell shown: -36.877
ρ in g/cm3: 9.8


# 4
A plane-wave DFT calculation with PBE was carried out for a geometry-optimized Dy5Ru2Pb structure.

a = 7.7222 Å, b = 7.7222 Å, c = 13.8338 Å
α = 90.00°, β = 90.00°, γ = 90.00°
With the nearest neighbours (Å) after each atom.
Space group I4/mcm (No. 140)
One atom of each set of equivalent atoms:
Dy1 0.0000 0.0000 0.0000 [4 per cell]  4 Ru 2.97
Dy2 0.1581 0.3419 0.1304 [16 per cell]  3 Ru 2.83-2.94
Ru1 0.1422 0.3578 0.5000 [8 per cell]  8 Dy 2.83-2.97, 1 Ru 3.11
Pb1 0.0000 0.0000 0.2500 [4 per cell]  10 Dy 3.35-3.46

Output
Final energy in eV for the cell shown: -194.836
ρ in g/cm3: 9.8


# 5
A plane-wave DFT calculation with PBE was carried out for a geometry-optimized ReTc4Ge structure.

a = 4.3989 Å, b = 4.3989 Å, c = 18.0307 Å
α = 90.00°, β = 90.00°, γ = 120.00°
With the nearest neighbours (Å) after each atom.
Space group R-3m (No. 166, hexagonal axes)
One atom of each set of equivalent atoms:
Re1 0.0000 0.0000 0.0000 [3 per cell]  8 Tc 2.54-2.60
Tc1 0.0000 0.0000 0.1410 [6 per cell]  1 Re 2.54, 3 Ge 2.58, 3 Tc 2.70
Tc2 0.0000 0.0000 0.3632 [6 per cell]  1 Ge 2.47, 3 Re 2.60, 3 Tc 2.76
Ge1 0.0000 0.0000 0.5000 [3 per cell]  8 Tc 2.47-2.58

Output
Energy relative to the lowest polymorph listed for this composition in eV/f.u.: 0.000
Final energy in eV for the cell shown: -166.622
ρ in g/cm3: 10.7


# 6
A plane-wave DFT calculation with PBE was carried out for a geometry-optimized Li4Ac3Au4 structure.

a = 4.3413 Å, b = 8.1166 Å, c = 15.2405 Å
α = 90.00°, β = 90.00°, γ = 90.00°
With the nearest neighbours (Å) after each atom.
Space group Immm (No. 71)
One atom of each set of equivalent atoms:
Li1 0.0000 0.1887 0.1775 [8 per cell]  4 Au 2.73-2.99
Ac1 0.0000 0.0000 0.3754 [4 per cell]  6 Au 3.24-3.30, 6 Li 3.38-3.43
Ac2 0.0000 0.5000 0.5000 [2 per cell]  6 Au 3.28-3.32
Au1 0.0000 0.3033 0.0000 [4 per cell]  2 Li 2.86, 1 Au 3.19
Au2 0.0000 0.5000 0.2824 [4 per cell]  6 Li 2.73-2.99

Output
Energy relative to the lowest polymorph listed for this composition in eV/f.u.: 0.000
Final energy in eV for the cell shown: -79.522
ρ in g/cm3: 9.3